No. 1
# LaZrP2Cl SCAN single point on PBEsol structure
data_LaZrP2Cl
_cell_length_a 5.356
_cell_length_b 5.356
_cell_length_c 5.079
_cell_angle_alpha 90.00
_cell_angle_beta 90.00
_cell_angle_gamma 90.00
_space_group_name_H-M_alt 'P 4/m m m'
_space_group_IT_number 123
_space_group_name_Hall '-P 4 2'
loop_
_atom_site_label
_atom_site_type_symbol
_atom_site_fract_x
_atom_site_fract_y
_atom_site_fract_z
La1 La 0.000 0.000 0.000
Zr1 Zr 0.500 0.500 0.500
P1 P 0.000 0.500 0.000
Cl1 Cl 0.000 0.000 0.500
# **Crystal system**: tetragonal
# **Formation energy from raw total energies**: 0.116 eV per atom
# **Calculated volume**: 29.14 A^3/atom

---

No. 2
# LaPb2Cl SCAN single point on PBEsol structure
data_LaPb2Cl
_cell_length_a 4.247
_cell_length_b 4.247
_cell_length_c 6.047
_cell_angle_alpha 90.00
_cell_angle_beta 90.00
_cell_angle_gamma 90.00
_space_group_name_H-M_alt 'P 4/m m m'
_space_group_IT_number 123
_space_group_name_Hall '-P 4 2'
loop_
_atom_site_label
_atom_site_type_symbol
_atom_site_fract_x
_atom_site_fract_y
_atom_site_fract_z
La1 La 0.000 0.000 0.000
Pb1 Pb 0.000 0.500 0.500
Cl1 Cl 0.500 0.500 0.000
# **Crystal system**: tetragonal
# **Excess energy over the best structure of this formula in the dataset**: 158.2 meV per atom
# **Formation energy from raw total energies**: -0.980 eV per atom
# **Calculated volume**: 27.27 A^3/atom

---

No. 3
# La5Pb3Cl SCAN single point on PBEsol structure
data_La5Pb3Cl
_cell_length_a 9.6158
_cell_length_b 9.6158
_cell_length_c 6.7854
_cell_angle_alpha 90.00
_cell_angle_beta 90.00
_cell_angle_gamma 120.00
_space_group_name_H-M_alt 'P 63/m c m'
_space_group_IT_number 193
_space_group_name_Hall '-P 6c 2'
loop_
_atom_site_label
_atom_site_type_symbol
_atom_site_fract_x
_atom_site_fract_y
_atom_site_fract_z
La1 La 0.0000 0.2581 0.2500
La2 La 0.3333 0.6667 0.0000
Pb1 Pb 0.0000 0.3871 0.7500
Cl1 Cl 0.0000 0.0000 0.0000
# **Crystal system**: hexagonal
# **Formation energy from raw total energies**: -1.205 eV per atom
# **Calculated volume**: 30.19 A^3/atom

---

No. 4
# LaPb2Cl SCAN single point on PBEsol structure
data_LaPb2Cl
_cell_length_a 4.7865
_cell_length_b 4.7865
_cell_length_c 17.2092
_cell_angle_alpha 90.00
_cell_angle_beta 90.00
_cell_angle_gamma 120.00
_space_group_name_H-M_alt 'R 3 m'
_space_group_IT_number 160
_space_group_name_Hall 'R 3 -2"'
loop_
_atom_site_label
_atom_site_type_symbol
_atom_site_fract_x
_atom_site_fract_y
_atom_site_fract_z
La1 La 0.0000 0.0000 0.0000
Pb1 Pb 0.0000 0.0000 0.5266
Pb2 Pb 0.0000 0.0000 0.7834
Cl1 Cl 0.0000 0.0000 0.2977
# **Crystal system**: trigonal
# **Excess energy over the best structure of this formula in the dataset**: 0.0 meV per atom
# **Formation energy from raw total energies**: -1.138 eV per atom
# **Calculated volume**: 28.45 A^3/atom

---

No. 5
# LaPb2Cl SCAN single point on PBEsol structure
data_LaPb2Cl
_cell_length_a 7.711
_cell_length_b 7.711
_cell_length_c 7.711
_cell_angle_alpha 90.00
_cell_angle_beta 90.00
_cell_angle_gamma 90.00
_space_group_name_H-M_alt 'F m -3 m'
_space_group_IT_number 225
_space_group_name_Hall '-F 4 2 3'
loop_
_atom_site_label
_atom_site_type_symbol
_atom_site_fract_x
_atom_site_fract_y
_atom_site_fract_z
La1 La 0.000 0.000 0.000
Pb1 Pb 0.250 0.250 0.250
Cl1 Cl 0.000 0.000 0.500
# **Crystal system**: cubic
# **Excess energy over the best structure of this formula in the dataset**: 720.7 meV per atom
# **Formation energy from raw total energies**: -0.417 eV per atom
# **Calculated volume**: 28.65 A^3/atom

---

No. 6
# LaPbS2Cl SCAN single point on PBEsol structure
data_LaPbS2Cl
_cell_length_a 5.480
_cell_length_b 5.480
_cell_length_c 5.272
_cell_angle_alpha 90.00
_cell_angle_beta 90.00
_cell_angle_gamma 90.00
_space_group_name_H-M_alt 'P 4/m m m'
_space_group_IT_number 123
_space_group_name_Hall '-P 4 2'
loop_
_atom_site_label
_atom_site_type_symbol
_atom_site_fract_x
_atom_site_fract_y
_atom_site_fract_z
La1 La 0.000 0.000 0.000
Pb1 Pb 0.500 0.500 0.500
S1 S 0.000 0.500 0.000
Cl1 Cl 0.000 0.000 0.500
# **Crystal system**: tetragonal
# **Formation energy from raw total energies**: -1.182 eV per atom
# **Calculated volume**: 31.66 A^3/atom

---

No. 7
# La2PdCl2 SCAN single point on PBEsol structure
data_La2PdCl2
_cell_length_a 8.047
_cell_length_b 8.047
_cell_length_c 3.437
_cell_angle_alpha 90.00
_cell_angle_beta 90.00
_cell_angle_gamma 90.00
_space_group_name_H-M_alt 'P 4/m b m'
_space_group_IT_number 127
_space_group_name_Hall '-P 4 2ab'
loop_
_atom_site_label
_atom_site_type_symbol
_atom_site_fract_x
_atom_site_fract_y
_atom_site_fract_z
La1 La 0.177 0.323 0.000
Pd1 Pd 0.000 0.000 0.500
Cl1 Cl 0.124 0.624 0.500
# **Crystal system**: tetragonal
# **Formation energy from raw total energies**: -1.376 eV per atom
# **Calculated volume**: 22.26 A^3/atom

---

No. 8
# La2PtCl SCAN single point on PBEsol structure
data_La2PtCl
_cell_length_a 4.1904
_cell_length_b 4.1904
_cell_length_c 21.7743
_cell_angle_alpha 90.00
_cell_angle_beta 90.00
_cell_angle_gamma 120.00
_space_group_name_H-M_alt 'R -3 m'
_space_group_IT_number 166
_space_group_name_Hall '-R 3 2"'
loop_
_atom_site_label
_atom_site_type_symbol
_atom_site_fract_x
_atom_site_fract_y
_atom_site_fract_z
La1 La 0.0000 0.0000 0.2395
Pt1 Pt 0.0000 0.0000 0.5000
Cl1 Cl 0.0000 0.0000 0.0000
# **Crystal system**: trigonal
# **Excess energy over the best structure of this formula in the dataset**: 0.0 meV per atom
# **Formation energy from raw total energies**: -1.699 eV per atom
# **Calculated volume**: 27.59 A^3/atom

---

No. 9
# LaPt2Cl SCAN single point on PBEsol structure
data_LaPt2Cl
_cell_length_a 5.521
_cell_length_b 5.540
_cell_length_c 5.317
_cell_angle_alpha 90.00
_cell_angle_beta 90.00
_cell_angle_gamma 90.00
_space_group_name_H-M_alt 'C m m m'
_space_group_IT_number 65
_space_group_name_Hall '-C 2 2'
loop_
_atom_site_label
_atom_site_type_symbol
_atom_site_fract_x
_atom_site_fract_y
_atom_site_fract_z
La1 La 0.000 0.000 0.000
Pt1 Pt 0.000 0.250 0.500
Cl1 Cl 0.000 0.500 0.000
# **Crystal system**: orthorhombic
# **Excess energy over the best structure of this formula in the dataset**: 0.0 meV per atom
# **Formation energy from raw total energies**: -0.948 eV per atom
# **Calculated volume**: 20.33 A^3/atom

---

No. 10
# LaPtCl2 SCAN single point on PBEsol structure
data_LaPtCl2
_cell_length_a 4.151
_cell_length_b 4.213
_cell_length_c 9.172
_cell_angle_alpha 90.00
_cell_angle_beta 90.00
_cell_angle_gamma 90.00
_space_group_name_H-M_alt 'I m m 2'
_space_group_IT_number 44
loop_
_space_group_symop_operation_xyz
'x,y,z'
'-x,-y,z'
'-x,y,z'
'x,-y,z'
'x+1/2,y+1/2,z+1/2'
'-x+1/2,-y+1/2,z+1/2'
'-x+1/2,y+1/2,z+1/2'
'x+1/2,-y+1/2,z+1/2'
loop_
_atom_site_label
_atom_site_type_symbol
_atom_site_fract_x
_atom_site_fract_y
_atom_site_fract_z
La1 La 0.000 0.000 0.000
Pt1 Pt 0.000 0.500 0.747
Cl1 Cl 0.000 0.000 0.495
Cl2 Cl 0.000 0.500 0.247
# **Crystal system**: orthorhombic
# **Excess energy over the best structure of this formula in the dataset**: 0.0 meV per atom
# **Formation energy from raw total energies**: -1.292 eV per atom
# **Calculated volume**: 20.05 A^3/atom

---

No. 11
# La2PtCl SCAN single point on PBEsol structure
data_La2PtCl
_cell_length_a 7.311
_cell_length_b 7.330
_cell_length_c 3.449
_cell_angle_alpha 90.00
_cell_angle_beta 90.26
_cell_angle_gamma 90.00
_space_group_name_H-M_alt 'C 1 2/m 1'
_space_group_IT_number 12
loop_
_space_group_symop_operation_xyz
'x,y,z'
'-x,-y,-z'
'-x,y,-z'
'x,-y,z'
'x+1/2,y+1/2,z'
'-x+1/2,-y+1/2,-z'
'-x+1/2,y+1/2,-z'
'x+1/2,-y+1/2,z'
loop_
_atom_site_label
_atom_site_type_symbol
_atom_site_fract_x
_atom_site_fract_y
_atom_site_fract_z
La1 La 0.250 0.250 0.000
Pt1 Pt 0.000 0.000 0.500
Cl1 Cl 0.000 0.500 0.500
# **Crystal system**: monoclinic
# **Excess energy over the best structure of this formula in the dataset**: 341.9 meV per atom
# **Formation energy from raw total energies**: -1.357 eV per atom
# **Calculated volume**: 23.11 A^3/atom

---

No. 12
# La2Pt2Cl SCAN single point on PBEsol structure
data_La2Pt2Cl
_cell_length_a 5.243
_cell_length_b 5.243
_cell_length_c 9.826
_cell_angle_alpha 90.00
_cell_angle_beta 90.00
_cell_angle_gamma 90.00
_space_group_name_H-M_alt 'I 4/m m m'
_space_group_IT_number 139
_space_group_name_Hall '-I 4 2'
loop_
_atom_site_label
_atom_site_type_symbol
_atom_site_fract_x
_atom_site_fract_y
_atom_site_fract_z
La1 La 0.000 0.500 0.250
Pt1 Pt 0.000 0.000 0.130
Cl1 Cl 0.000 0.000 0.500
# **Crystal system**: tetragonal
# **Formation energy from raw total energies**: -1.279 eV per atom
# **Calculated volume**: 27.01 A^3/atom

---

No. 13
# LaPtCl2 SCAN single point on PBEsol structure
data_LaPtCl2
_cell_length_a 4.265
_cell_length_b 4.494
_cell_length_c 4.318
_cell_angle_alpha 90.00
_cell_angle_beta 99.19
_cell_angle_gamma 90.00
_space_group_name_H-M_alt 'P 1 2/m 1'
_space_group_IT_number 10
loop_
_space_group_symop_operation_xyz
'x,y,z'
'-x,-y,-z'
'-x,y,-z'
'x,-y,z'
loop_
_atom_site_label
_atom_site_type_symbol
_atom_site_fract_x
_atom_site_fract_y
_atom_site_fract_z
La1 La 0.000 0.000 0.000
Pt1 Pt 0.500 0.500 0.000
Cl1 Cl 0.000 0.500 0.500
Cl2 Cl 0.500 0.000 0.500
# **Crystal system**: monoclinic
# **Excess energy over the best structure of this formula in the dataset**: 31.8 meV per atom
# **Formation energy from raw total energies**: -1.260 eV per atom
# **Calculated volume**: 20.43 A^3/atom

---

No. 14
# LaPt2Cl SCAN single point on PBEsol structure
data_LaPt2Cl
_cell_length_a 3.919
_cell_length_b 3.919
_cell_length_c 5.431
_cell_angle_alpha 90.00
_cell_angle_beta 90.00
_cell_angle_gamma 90.00
_space_group_name_H-M_alt 'P 4/m m m'
_space_group_IT_number 123
_space_group_name_Hall '-P 4 2'
loop_
_atom_site_label
_atom_site_type_symbol
_atom_site_fract_x
_atom_site_fract_y
_atom_site_fract_z
La1 La 0.000 0.000 0.000
Pt1 Pt 0.500 0.500 0.247
Cl1 Cl 0.000 0.000 0.500
# **Crystal system**: tetragonal
# **Excess energy over the best structure of this formula in the dataset**: 138.6 meV per atom
# **Formation energy from raw total energies**: -0.810 eV per atom
# **Calculated volume**: 20.86 A^3/atom